Here is crystalline CdCoBr4 at its relaxed geometry from the Alexandria database. Energies are from PBE-GGA.

a = 6.857 Å, b = 6.857 Å, c = 9.000 Å
α = 90.00°, β = 90.00°, γ = 90.55°
Fractional coordinates of all 12 atoms:
Cd: 0.168 0.832 0.750
Cd: 0.832 0.168 0.250
Co: 0.341 0.341 0.000
Co: 0.659 0.659 0.500
Br: 0.204 0.222 0.773
Br: 0.222 0.204 0.227
Br: 0.284 0.687 0.006
Br: 0.313 0.716 0.494
Br: 0.687 0.284 0.994
Br: 0.716 0.313 0.506
Br: 0.778 0.796 0.727
Br: 0.796 0.778 0.273



Here is crystalline Sc6Pd5Ru at its relaxed geometry from the Alexandria database. Energies are from PBE-GGA.

a = 7.399 Å, b = 7.399 Å, c = 6.511 Å
α = 90.00°, β = 90.00°, γ = 143.08°
Fractional coordinates of all 12 atoms:
Sc: 0.000 0.000 0.244
Sc: 0.000 0.000 0.756
Sc: 0.337 0.663 0.247
Sc: 0.337 0.663 0.753
Sc: 0.663 0.337 0.247
Sc: 0.663 0.337 0.753
Pd: 0.168 0.832 0.000
Pd: 0.168 0.832 0.500
Pd: 0.500 0.500 0.500
Pd: 0.832 0.168 0.000
Pd: 0.832 0.168 0.500
Ru: 0.500 0.500 0.000

Calculated values
**ΔH_f (0 K)**: -0.865 eV per atom
**Density of states at the Fermi level**: 6.73 states/eV per cell



Number 1: E -3.00 eV per atom. Number 2: E -6.97 eV per atom.